(1)
The following is a DFT calculation (PBE-GGA) of crystalline Mg2InAg3 at its relaxed geometry.

Output
Magnetization   0.00 μB per atom
Formation energy from the elements   -0.17 eV/atom
Polymorph energy (0 for the lowest one)   0.0000 eV per atom
DOS at the Fermi energy   1.5 states/eV/f.u.

Lattice parameters (Å, degrees): 4.794 14.350 6.654 90.00 90.00 90.00
Space group Cmmm (No. 65)
Unique sites:
Mg (0.000, 0.000, 0.000) [2 per cell]
Mg (0.000, 0.000, 0.500) [2 per cell]
Mg (0.000, 0.333, 0.000) [4 per cell]
In (0.000, 0.337, 0.500) [4 per cell]
Ag (0.000, 0.166, 0.240) [8 per cell]
Ag (0.000, 0.500, 0.238) [4 per cell]


(2)
The following is a DFT calculation (PBE-GGA) of crystalline RbLi2OsBr8 at its relaxed geometry.

Output
Magnetization   0.25 μB per atom
Energy relative to the elements, uncorrected   -833.1 meV/atom
DOS at the Fermi energy   0.5 states/eV/f.u.

Lattice parameters (Å, degrees): 6.445 7.567 8.950 73.07 83.28 89.93
Space group P-1 (No. 2)
Unique sites:
Rb (0.000, 0.000, 0.000) [1 per cell]
Li (0.492, 0.519, 0.824) [2 per cell]
Os (0.000, 0.500, 0.500) [1 per cell]
Br (0.089, 0.499, 0.767) [2 per cell]
Br (0.198, 0.795, 0.379) [2 per cell]
Br (0.317, 0.323, 0.459) [2 per cell]
Br (0.493, 0.767, 0.955) [2 per cell]


(3)
The following is a DFT calculation (PBE-GGA) of crystalline Li2AgPd2 at its relaxed geometry.

Output
Magnetization   0.00 μB per atom
Formation energy from the elements   -0.26 eV/atom
Polymorph energy (0 for the lowest one)   0.0193 eV per atom
DOS at the Fermi energy   1.1 states/eV/f.u.

Lattice parameters (Å, degrees): 7.200 7.200 2.916 90.00 90.00 90.00
Space group P4/mbm (No. 127)
Unique sites:
Li (0.163, 0.337, 0.000) [4 per cell]
Ag (0.000, 0.000, 0.500) [2 per cell]
Pd (0.135, 0.635, 0.500) [4 per cell]